This record from Alexandria via LeMat-Bulk describes a geometry-optimized SrPrTlCl6 structure. The functional is PBE.

abc: 7.5251 7.5251 13.4337
angles: 90.00 90.00 120.00
Space group P-31c (No. 163)
One atom of each set of equivalent atoms:
Sr 0.3333 0.6667 0.2500 (multiplicity 2)
Pr 0.3333 0.6667 0.7500 (multiplicity 2)
Tl 0.0000 0.0000 0.0000 (multiplicity 2)
Cl 0.0135 0.3731 0.6353 (multiplicity 12)

Results
* crystal system: trigonal
* calculated volume: 36.60 A^3/atom
* formation energy from raw total energies: -2069 meV per atom

This record from Alexandria via LeMat-Bulk describes a geometry-optimized TbPrCl2 structure. The functional is PBE.

abc: 3.6726 3.6726 28.8101
angles: 90.00 90.00 120.00
Space group R-3m (No. 166, hexagonal axes)
One atom of each set of equivalent atoms:
Tb 0.0000 0.0000 0.0000 (multiplicity 3)
Pr 0.0000 0.0000 0.5000 (multiplicity 3)
Cl 0.0000 0.0000 0.0941 (multiplicity 6)

Results
* crystal system: trigonal
* ΔE to the lowest computed polymorph: 0.0 kJ/mol of atoms
* calculated volume: 28.04 A^3/atom
* formation energy from raw total energies: -1348 meV per atom

This record from Alexandria via LeMat-Bulk describes a geometry-optimized Tb2PrCl structure. The functional is PBE.

abc: 3.4656 3.4656 33.8044
angles: 90.00 90.00 120.00
Space group R-3m (No. 166, hexagonal axes)
One atom of each set of equivalent atoms:
Tb 0.0000 0.0000 0.1014 (multiplicity 6)
Pr 0.0000 0.0000 0.0000 (multiplicity 3)
Cl 0.0000 0.0000 0.5000 (multiplicity 3)

Results
* crystal system: trigonal
* calculated volume: 29.30 A^3/atom
* formation energy from raw total energies: -414 meV per atom

This record from Alexandria via LeMat-Bulk describes a geometry-optimized TbPr2Cl8 structure. The functional is PBE.

abc: 8.4114 12.5566 5.7476
angles: 90.00 108.49 90.00
Space group C2/m (No. 12)
One atom of each set of equivalent atoms:
Tb 0.0000 0.0000 0.0000 (multiplicity 2)
Pr 0.0000 0.3103 0.5000 (multiplicity 4)
Cl 0.0000 0.2157 0.0000 (multiplicity 4)
Cl 0.1500 0.5000 0.8204 (multiplicity 4)
Cl 0.2052 0.1291 0.5983 (multiplicity 8)

Results
* crystal system: monoclinic
* calculated volume: 26.17 A^3/atom
* formation energy from raw total energies: -2023 meV per atom

This record from Alexandria via LeMat-Bulk describes a geometry-optimized TbPrCl2 structure. The functional is PBE.

abc: 3.5491 3.5491 26.7360
angles: 90.00 90.00 120.00
Space group R3m (No. 160, hexagonal axes)
One atom of each set of equivalent atoms:
Tb 0.0000 0.0000 0.0000 (multiplicity 3)
Pr 0.0000 0.0000 0.1646 (multiplicity 3)
Cl 0.0000 0.0000 0.4136 (multiplicity 3)
Cl 0.0000 0.0000 0.5850 (multiplicity 3)

Results
* crystal system: trigonal
* ΔE to the lowest computed polymorph: 3.6 kJ/mol of atoms
* calculated volume: 24.30 A^3/atom
* formation energy from raw total energies: -1311 meV per atom

This record from Alexandria via LeMat-Bulk describes a geometry-optimized TbPrCl6 structure. The functional is PBE.

abc: 6.8657 6.8657 18.8655
angles: 90.00 90.00 120.00
Space group R-3 (No. 148, hexagonal axes)
One atom of each set of equivalent atoms:
Tb 0.0000 0.0000 0.0000 (multiplicity 3)
Pr 0.0000 0.0000 0.5000 (multiplicity 3)
Cl 0.0087 0.3563 0.7483 (multiplicity 18)

Results
* crystal system: trigonal
* ΔE to the lowest computed polymorph: 0.0 kJ/mol of atoms
* calculated volume: 32.09 A^3/atom
* formation energy from raw total energies: -2245 meV per atom

This record from Alexandria via LeMat-Bulk describes a geometry-optimized TbPrCl6 structure. The functional is PBE.

abc: 7.0553 12.2650 7.3623
angles: 90.00 94.40 90.00
Space group C2/m (No. 12)
One atom of each set of equivalent atoms:
Tb 0.0000 0.0000 0.0000 (multiplicity 2)
Pr 0.0000 0.0000 0.5000 (multiplicity 2)
Cl 0.1441 0.1434 0.7717 (multiplicity 8)
Cl 0.2113 0.5000 0.7402 (multiplicity 4)

Results
* crystal system: monoclinic
* ΔE to the lowest computed polymorph: 4.4 kJ/mol of atoms
* calculated volume: 39.70 A^3/atom
* formation energy from raw total energies: -2199 meV per atom

This record from Alexandria via LeMat-Bulk describes a geometry-optimized Pr4TcCl5 structure. The functional is PBE.

abc: 18.3384 3.9246 9.3650
angles: 90.00 108.31 90.00
Space group C2/m (No. 12)
One atom of each set of equivalent atoms:
Pr 0.0059 0.0000 0.2476 (multiplicity 4)
Pr 0.1500 0.5000 0.0866 (multiplicity 4)
Tc 0.0000 0.5000 0.0000 (multiplicity 2)
Cl 0.0000 0.5000 0.5000 (multiplicity 2)
Cl 0.1664 0.0000 0.8631 (multiplicity 4)
Cl 0.1712 0.0000 0.3246 (multiplicity 4)

Results
* crystal system: monoclinic
* calculated volume: 31.99 A^3/atom
* formation energy from raw total energies: -1516 meV per atom

This record from Alexandria via LeMat-Bulk describes a geometry-optimized Pr5Tc2Cl2 structure. The functional is PBE.

abc: 17.4252 7.7729 7.7617
angles: 90.00 90.00 90.00
Space group Cmce (No. 64)
One atom of each set of equivalent atoms:
Pr 0.0000 0.0000 0.0000 (multiplicity 4)
Pr 0.1189 0.1768 0.3254 (multiplicity 16)
Tc 0.0000 0.1100 0.6087 (multiplicity 8)
Cl 0.2411 0.0000 0.0000 (multiplicity 8)

Results
* crystal system: orthorhombic
* calculated volume: 29.20 A^3/atom
* formation energy from raw total energies: -511 meV per atom

This record from Alexandria via LeMat-Bulk describes a geometry-optimized Pr5TcCl5 structure. The functional is PBE.

abc: 12.7632 5.8510 8.6974
angles: 90.00 109.04 90.00
Space group C2/m (No. 12)
One atom of each set of equivalent atoms:
Pr 0.0000 0.0000 0.0000 (multiplicity 2)
Pr 0.1508 0.5000 0.3011 (multiplicity 4)
Pr 0.1720 0.5000 0.8601 (multiplicity 4)
Tc 0.0000 0.5000 0.0000 (multiplicity 2)
Cl 0.0000 0.5000 0.5000 (multiplicity 2)
Cl 0.1467 0.0000 0.7873 (multiplicity 4)
Cl 0.1645 0.0000 0.3579 (multiplicity 4)

Results
* crystal system: monoclinic
* calculated volume: 27.91 A^3/atom
* formation energy from raw total energies: -1307 meV per atom

This record from Alexandria via LeMat-Bulk describes a geometry-optimized PrTcCl structure. The functional is PBE.

abc: 7.1805 4.1476 11.6930
angles: 90.00 101.97 90.00
Space group C2/m (No. 12)
One atom of each set of equivalent atoms:
Pr 0.0677 0.0000 0.2005 (multiplicity 4)
Tc 0.1697 0.5000 0.0088 (multiplicity 4)
Cl 0.2147 0.0000 0.6483 (multiplicity 4)

Results
* crystal system: monoclinic
* calculated volume: 28.39 A^3/atom
* formation energy from raw total energies: -997 meV per atom

This record from Alexandria via LeMat-Bulk describes a geometry-optimized PrThTcCl structure. The functional is PBE.

abc: 4.1190 4.1190 22.9673
angles: 90.00 90.00 120.00
Space group R3m (No. 160, hexagonal axes)
One atom of each set of equivalent atoms:
Pr 0.0000 0.0000 0.0000 (multiplicity 3)
Th 0.0000 0.0000 0.2014 (multiplicity 3)
Tc 0.0000 0.0000 0.5866 (multiplicity 3)
Cl 0.0000 0.0000 0.7626 (multiplicity 3)

Results
* crystal system: trigonal
* calculated volume: 28.13 A^3/atom
* formation energy from raw total energies: -616 meV per atom

This record from Alexandria via LeMat-Bulk describes a geometry-optimized Pr4Te3Cl4 structure. The functional is PBE.

abc: 4.1300 8.8597 17.0635
angles: 90.00 90.00 90.00
Space group Immm (No. 71)
One atom of each set of equivalent atoms:
Pr 0.0000 0.0000 0.2465 (multiplicity 4)
Pr 0.0000 0.2214 0.0000 (multiplicity 4)
Te 0.0000 0.0000 0.5000 (multiplicity 2)
Te 0.0000 0.5000 0.3980 (multiplicity 4)
Cl 0.0000 0.3106 0.1770 (multiplicity 8)

Results
* crystal system: orthorhombic
* calculated volume: 28.38 A^3/atom
* formation energy from raw total energies: -1789 meV per atom

This record from Alexandria via LeMat-Bulk describes a geometry-optimized Pr2Te3Cl structure. The functional is PBE.

abc: 8.6608 8.6608 19.5648
angles: 90.00 90.00 120.00
Space group R-3c (No. 167, hexagonal axes)
One atom of each set of equivalent atoms:
Pr 0.0000 0.0000 0.1394 (multiplicity 12)
Te 0.0000 0.2791 0.2500 (multiplicity 18)
Cl 0.0000 0.0000 0.0000 (multiplicity 6)

Results
* crystal system: trigonal
* calculated volume: 35.30 A^3/atom
* formation energy from raw total energies: -1294 meV per atom

This record from Alexandria via LeMat-Bulk describes a geometry-optimized Pr3TeCl3 structure. The functional is PBE.

abc: 7.3067 7.3067 30.7556
angles: 90.00 90.00 120.00
Space group R-3 (No. 148, hexagonal axes)
One atom of each set of equivalent atoms:
Pr 0.0003 0.3071 0.0588 (multiplicity 18)
Te 0.0000 0.0000 0.3333 (multiplicity 6)
Cl 0.0004 0.3493 0.8885 (multiplicity 18)

Results
* crystal system: trigonal
* calculated volume: 33.86 A^3/atom
* formation energy from raw total energies: -1627 meV per atom

This record from Alexandria via LeMat-Bulk describes a geometry-optimized Pr2TeCl2 structure. The functional is PBE.

abc: 4.3281 4.3281 10.1549
angles: 90.00 90.00 120.00
Space group P-3m1 (No. 164)
One atom of each set of equivalent atoms:
Pr 0.3333 0.6667 0.1822 (multiplicity 2)
Te 0.0000 0.0000 0.0000 (multiplicity 1)
Cl 0.3333 0.6667 0.6613 (multiplicity 2)

Results
* crystal system: trigonal
* calculated volume: 32.95 A^3/atom
* formation energy from raw total energies: -1745 meV per atom

This record from Alexandria via LeMat-Bulk describes a geometry-optimized Pr2TeCl5 structure. The functional is PBE.

abc: 4.6898 8.5831 11.1104
angles: 90.00 90.00 90.00
Space group Immm (No. 71)
One atom of each set of equivalent atoms:
Pr 0.0000 0.0000 0.2469 (multiplicity 4)
Te 0.0000 0.5000 0.0000 (multiplicity 2)
Cl 0.0000 0.0000 0.0000 (multiplicity 2)
Cl 0.0000 0.3129 0.3348 (multiplicity 8)

Results
* crystal system: orthorhombic
* calculated volume: 27.95 A^3/atom
* formation energy from raw total energies: -1844 meV per atom

This record from Alexandria via LeMat-Bulk describes a geometry-optimized PrTmTe2Cl structure. The functional is PBE.

abc: 4.3426 4.3426 15.0431
angles: 90.00 90.00 90.00
Space group P4/nmm (No. 129, origin choice 2)
One atom of each set of equivalent atoms:
Pr 0.2500 0.2500 0.1355 (multiplicity 2)
Tm 0.2500 0.2500 0.5830 (multiplicity 2)
Te 0.2500 0.2500 0.3802 (multiplicity 2)
Te 0.2500 0.2500 0.7903 (multiplicity 2)
Cl 0.2500 0.7500 0.0000 (multiplicity 2)

Results
* crystal system: tetragonal
* calculated volume: 28.37 A^3/atom
* formation energy from raw total energies: -1570 meV per atom

This record from Alexandria via LeMat-Bulk describes a geometry-optimized PrYTe2Cl structure. The functional is PBE.

abc: 4.3717 4.3717 15.1012
angles: 90.00 90.00 90.00
Space group P4/nmm (No. 129, origin choice 2)
One atom of each set of equivalent atoms:
Pr 0.2500 0.2500 0.1346 (multiplicity 2)
Y 0.2500 0.2500 0.5839 (multiplicity 2)
Te 0.2500 0.2500 0.3782 (multiplicity 2)
Te 0.2500 0.2500 0.7932 (multiplicity 2)
Cl 0.2500 0.7500 0.0000 (multiplicity 2)

Results
* crystal system: tetragonal
* calculated volume: 28.86 A^3/atom
* formation energy from raw total energies: -1626 meV per atom

This record from Alexandria via LeMat-Bulk describes a geometry-optimized Pr4ZnTe2Cl structure. The functional is PBE.

abc: 7.5870 4.2952 7.7623
angles: 90.00 108.24 90.00
Space group P2/m (No. 10)
One atom of each set of equivalent atoms:
Pr 0.2392 0.0000 0.2323 (multiplicity 2)
Pr 0.2483 0.5000 0.7678 (multiplicity 2)
Zn 0.0000 0.5000 0.0000 (multiplicity 1)
Te 0.0000 0.0000 0.5000 (multiplicity 1)
Te 0.5000 0.5000 0.5000 (multiplicity 1)
Cl 0.5000 0.0000 0.0000 (multiplicity 1)

Results
* crystal system: monoclinic
* calculated volume: 30.03 A^3/atom
* formation energy from raw total energies: -1151 meV per atom